The following is a PBE-GGA calculation of crystalline MnNi2Bi2 at its relaxed geometry, from Alexandria.

Calculated values
Total moment (μB per cell): 7.44
Total energy (eV/atom): -5.290
Energy relative to the elements (eV/atom): 0.409
Space-group type: No. 127

Cell: 7.6211 7.6211 3.3283 Å, 90.00 90.00 90.00°
Closest atoms and distances in Å follow each position.
Sites, in units of the cell vectors:
Mn  0.0000  0.0000  0.0000  4 Bi 2.84
Mn  0.5000  0.5000  0.0000  4 Bi 2.84
Ni  0.1245  0.3755  0.5000  1 Ni 2.68, 6 Bi 2.79-2.80
Ni  0.3755  0.8755  0.5000  1 Ni 2.68, 6 Bi 2.79-2.80
Ni  0.6245  0.1245  0.5000  1 Ni 2.68, 6 Bi 2.79-2.80
Ni  0.8755  0.6245  0.5000  1 Ni 2.68, 6 Bi 2.79-2.80
Bi  0.1677  0.6677  0.0000  6 Ni 2.79-2.80, 2 Mn 2.84
Bi  0.3323  0.1677  0.0000  6 Ni 2.79-2.80, 2 Mn 2.84
Bi  0.6677  0.8323  0.0000  6 Ni 2.79-2.80, 2 Mn 2.84
Bi  0.8323  0.3323  0.0000  6 Ni 2.79-2.80, 2 Mn 2.84

The following is a PBE-GGA calculation of crystalline MnNi4Bi at its relaxed geometry, from Alexandria.

Calculated values
Total moment (μB per cell): 4.61
Total energy (eV/atom): -5.927
Energy relative to the elements (eV/atom): 0.102
Space-group type: No. 216

Cell: 4.8939 4.8939 4.8939 Å, 60.00 60.00 60.00°
Closest atoms and distances in Å follow each position.
Sites, in units of the cell vectors:
Mn  0.0000  0.0000  0.0000  12 Ni 2.87, 4 Bi 3.00
Ni  0.3739  0.3739  0.3739  6 Ni 2.42-2.47
Ni  0.3739  0.3739  0.8784  6 Ni 2.42-2.47
Ni  0.3739  0.8784  0.3739  6 Ni 2.42-2.47
Ni  0.8784  0.3739  0.3739  6 Ni 2.42-2.47
Bi  0.7500  0.7500  0.7500  12 Ni 2.87, 4 Mn 3.00